[1]
Here is a geometry-optimized ZrVTc2 structure from the Alexandria database. Energies are from GGA-PBE.

Summary:
The value obtained for the density is 8.0 g/cm³. Its symmetry is No. 122. For the energy, the calculation gives -8.9975 eV per atom. For the energy relative to the elements, the calculation gives 0.6022 eV per atom. The value obtained for the volume is 17.7 Å³/atom. For the size of the total moment, the calculation gives 0.002 μB/cell.

Lattice parameters (Å, degrees): 10.1593 10.1593 10.1593 158.46 158.46 30.65
Fractional coordinates of all 8 atoms:
Zr 0.0000 0.0000 0.0000
Zr 0.7500 0.2500 0.5000
V 0.2500 0.7500 0.5000
V 0.5000 0.5000 0.0000
Tc 0.1843 0.6250 0.0593
Tc 0.3750 0.4343 0.5593
Tc 0.5657 0.1250 0.9407
Tc 0.8750 0.8157 0.4407



[2]
Here is a geometry-optimized Li3Fe structure from the Alexandria database. Energies are from GGA-PBE.

Summary:
The value obtained for the density is 2.2 g/cm³. Its symmetry is No. 166. For the energy, the calculation gives -3.2735 eV per atom. For the energy relative to the elements, the calculation gives 0.2775 eV per atom. The value obtained for the volume is 14.6 Å³/atom. For the size of the total moment, the calculation gives 2.126 μB/cell.

Lattice parameters (Å, degrees): 5.3298 5.3298 5.3298 117.73 117.73 117.73
Fractional coordinates of all 4 atoms:
Li 0.0000 0.5000 0.5000
Li 0.5000 0.0000 0.5000
Li 0.5000 0.5000 0.0000
Fe 0.0000 0.0000 0.0000



[3]
Here is a geometry-optimized TbAgI4 structure from the Alexandria database. Energies are from GGA-PBE.

Summary:
The calculation puts the formation energy (no corrections) at -0.938 eV/atom. The value obtained for the density is 4.2 g/cm³. Its symmetry is No. 12. For the energy, the calculation gives -3.2183 eV per atom. The value obtained for the volume is 50.5 Å³/atom. For the size of the total moment, the calculation gives 0.000 μB/cell.

Lattice parameters (Å, degrees): 12.0221 12.0221 8.5924 103.83 103.83 30.23
Fractional coordinates of all 12 atoms:
Tb 0.1851 0.1851 0.0832
Tb 0.8149 0.8149 0.9168
Ag 0.1744 0.1744 0.4960
Ag 0.8256 0.8256 0.5040
I 0.0804 0.0804 0.2112
I 0.1134 0.1134 0.7449
I 0.2820 0.2820 0.3939
I 0.3001 0.3001 0.9279
I 0.6999 0.6999 0.0721
I 0.7180 0.7180 0.6061
I 0.8866 0.8866 0.2551
I 0.9196 0.9196 0.7888



[4]
Here is a geometry-optimized Si2HgI structure from the Alexandria database. Energies are from GGA-PBE.

Summary:
The calculation puts the formation energy (no corrections) at 0.118 eV/atom. The value obtained for the density is 5.1 g/cm³. Its symmetry is No. 1. For the energy, the calculation gives -3.0562 eV per atom. The value obtained for the volume is 31.5 Å³/atom. For the size of the total moment, the calculation gives 0.000 μB/cell.

Lattice parameters (Å, degrees): 5.2484 6.2656 8.1142 79.93 79.95 75.24
Fractional coordinates of all 8 atoms:
Si 0.0000 0.0000 0.0000
Si 0.1602 0.7955 0.6153
Si 0.3508 0.9886 0.7689
Si 0.7874 0.8392 0.8278
Hg 0.0623 0.9192 0.3128
Hg 0.3669 0.3831 0.6390
I 0.6968 0.4104 0.9643
I 0.8708 0.4318 0.3961



[5]
Here is a geometry-optimized SrTl3 structure from the Alexandria database. Energies are from GGA-PBE.

Summary:
The value obtained for the density is 8.9 g/cm³. Its symmetry is No. 10. For the energy, the calculation gives -2.3918 eV per atom. For the energy relative to the elements, the calculation gives -0.1966 eV per atom. The value obtained for the volume is 32.7 Å³/atom. For the size of the total moment, the calculation gives 0.000 μB/cell.

Lattice parameters (Å, degrees): 3.8823 5.5611 6.1042 90.00 96.32 90.00
Fractional coordinates of all 4 atoms:
Sr 0.0000 0.0000 0.0000
Tl 0.2931 0.5000 0.7341
Tl 0.5000 0.0000 0.5000
Tl 0.7069 0.5000 0.2659



[6]
Here is a geometry-optimized PbBr2F2 structure from the Alexandria database. Energies are from GGA-PBE.

Summary:
The calculation puts the formation energy (no corrections) at -0.560 eV/atom. The value obtained for the density is 6.2 g/cm³. Its symmetry is No. 123. For the energy, the calculation gives -2.7192 eV per atom. The value obtained for the volume is 21.8 Å³/atom. For the size of the total moment, the calculation gives 0.000 μB/cell.

Lattice parameters (Å, degrees): 4.5967 4.5967 5.1526 90.00 90.00 90.00
Fractional coordinates of all 5 atoms:
Pb 0.0000 0.0000 0.0000
Br 0.0000 0.5000 0.5000
Br 0.5000 0.0000 0.5000
F 0.5000 0.5000 0.0000
F 0.5000 0.5000 0.5000



[7]
Here is a geometry-optimized Ho8GaP3Se4 structure from the Alexandria database. Energies are from GGA-PBE.

Summary:
The calculation puts the formation energy (no corrections) at -1.613 eV/atom. The value obtained for the density is 7.9 g/cm³. Its symmetry is No. 166. For the energy, the calculation gives -5.9768 eV per atom. The value obtained for the volume is 23.5 Å³/atom. For the size of the total moment, the calculation gives 0.000 μB/cell.

Lattice parameters (Å, degrees): 8.1274 8.1274 8.1274 59.54 59.54 59.54
Fractional coordinates of all 16 atoms:
Ho 0.2429 0.2429 0.2429
Ho 0.2432 0.7453 0.7453
Ho 0.2547 0.2547 0.7568
Ho 0.2547 0.7568 0.2547
Ho 0.7453 0.2432 0.7453
Ho 0.7453 0.7453 0.2432
Ho 0.7568 0.2547 0.2547
Ho 0.7571 0.7571 0.7571
Ga 0.5000 0.5000 0.5000
P 0.0000 0.0000 0.5000
P 0.0000 0.5000 0.0000
P 0.5000 0.0000 0.0000
Se 0.0000 0.0000 0.0000
Se 0.0000 0.5000 0.5000
Se 0.5000 0.0000 0.5000
Se 0.5000 0.5000 0.0000



[8]
Here is a geometry-optimized Ba3Ho2Cu2PtO10 structure from the Alexandria database. Energies are from GGA-PBE.

Summary:
The calculation puts the formation energy (no corrections) at -2.144 eV/atom. The value obtained for the density is 7.6 g/cm³. Its symmetry is No. 12. For the energy, the calculation gives -6.5181 eV per atom. The value obtained for the volume is 14.8 Å³/atom. For the size of the total moment, the calculation gives 2.003 μB/cell.

Lattice parameters (Å, degrees): 6.9331 6.9331 7.5079 104.17 104.17 50.03
Fractional coordinates of all 18 atoms:
Ba 0.0000 0.0000 0.0000
Ba 0.1537 0.1537 0.5430
Ba 0.8463 0.8463 0.4570
Ho 0.3109 0.3109 0.1258
Ho 0.6891 0.6891 0.8742
Cu 0.4109 0.4109 0.8016
Cu 0.5891 0.5891 0.1984
Pt 0.5000 0.5000 0.5000
O 0.0877 0.5450 0.8763
O 0.2623 0.7024 0.2811
O 0.2976 0.7377 0.7189
O 0.3320 0.3320 0.4462
O 0.4550 0.9123 0.1237
O 0.5450 0.0877 0.8763
O 0.6680 0.6680 0.5538
O 0.7024 0.2623 0.2811
O 0.7377 0.2976 0.7189
O 0.9123 0.4550 0.1237



[9]
Here is a geometry-optimized TlCuIr2 structure from the Alexandria database. Energies are from GGA-PBE.

Summary:
The value obtained for the density is 16.3 g/cm³. Its symmetry is No. 8. For the energy, the calculation gives -5.6191 eV per atom. For the energy relative to the elements, the calculation gives 0.4270 eV per atom. The value obtained for the volume is 16.6 Å³/atom. For the size of the total moment, the calculation gives 0.000 μB/cell.

Lattice parameters (Å, degrees): 4.6086 4.6086 5.3238 98.90 98.90 36.50
Fractional coordinates of all 4 atoms:
Tl 0.0000 0.0000 0.0000
Cu 0.2428 0.2428 0.7367
Ir 0.4987 0.4987 0.5047
Ir 0.7568 0.7568 0.3193



[10]
Here is a geometry-optimized CeGaCo3Si structure from the Alexandria database. Energies are from GGA-PBE.

Summary:
The calculation puts the formation energy (no corrections) at -0.245 eV/atom. The value obtained for the density is 7.0 g/cm³. Its symmetry is No. 63. For the energy, the calculation gives -6.1951 eV per atom. The value obtained for the volume is 16.5 Å³/atom. For the size of the total moment, the calculation gives 1.036 μB/cell.

Lattice parameters (Å, degrees): 7.8374 7.8374 5.1802 90.00 90.00 141.62
Fractional coordinates of all 12 atoms:
Ce 0.2469 0.7531 0.7500
Ce 0.7531 0.2469 0.2500
Ga 0.1027 0.8973 0.2500
Ga 0.8973 0.1027 0.7500
Co 0.2482 0.2482 0.0000
Co 0.2482 0.2482 0.5000
Co 0.2597 0.7403 0.2500
Co 0.7403 0.2597 0.7500
Co 0.7518 0.7518 0.0000
Co 0.7518 0.7518 0.5000
Si 0.4113 0.5887 0.2500
Si 0.5887 0.4113 0.7500



[11]
Here is a geometry-optimized LaTi3Al structure from the Alexandria database. Energies are from GGA-PBE.

Summary:
The value obtained for the density is 4.8 g/cm³. Its symmetry is No. 221. For the energy, the calculation gives -5.2962 eV per atom. For the energy relative to the elements, the calculation gives 1.1747 eV per atom. The value obtained for the volume is 21.3 Å³/atom. For the size of the total moment, the calculation gives 0.000 μB/cell.

Lattice parameters (Å, degrees): 4.7433 4.7433 4.7433 90.00 90.00 90.00
Fractional coordinates of all 5 atoms:
La 0.0000 0.0000 0.0000
Ti 0.0000 0.0000 0.5000
Ti 0.0000 0.5000 0.0000
Ti 0.5000 0.0000 0.0000
Al 0.5000 0.5000 0.5000



[12]
Here is a geometry-optimized SrZnHgAu structure from the Alexandria database. Energies are from GGA-PBE.

Summary:
The value obtained for the density is 9.4 g/cm³. Its symmetry is No. 216. For the energy, the calculation gives -1.9681 eV per atom. For the energy relative to the elements, the calculation gives -0.3344 eV per atom. The value obtained for the volume is 24.4 Å³/atom. For the size of the total moment, the calculation gives 0.000 μB/cell.

Lattice parameters (Å, degrees): 5.1645 5.1645 5.1645 60.00 60.00 60.00
Fractional coordinates of all 4 atoms:
Sr 0.0000 0.0000 0.0000
Zn 0.5000 0.5000 0.5000
Hg 0.7500 0.7500 0.7500
Au 0.2500 0.2500 0.2500